A relaxed structure of CaZn2Ga2Au2. Source: Alexandria via LeMat-Bulk, functional PBE-GGA.

Properties
Mass density (g cm⁻³): 8.506
Formation energy (eV per atom): -0.38
Electronic total energy (eV/cell): -19.789
SG: R-3m

a b c (Å): 8.383 8.383 8.383
angles (deg): 30.86 30.86 30.86
Sites, in units of the cell vectors:
Ca (0.000, 0.000, 0.000)
Zn (0.135, 0.135, 0.135)
Zn (0.865, 0.865, 0.865)
Ga (0.410, 0.410, 0.410)
Ga (0.590, 0.590, 0.590)
Au (0.246, 0.246, 0.246)
Au (0.754, 0.754, 0.754)